DFT (PBE) results for crystalline KNiTe3Pd at its relaxed geometry.

a b c (Å): 8.592 3.954 10.373
angles (deg): 90.00 113.51 90.00
Element x y z (fractional)
K  0.036  0.250  0.292
K  0.964  0.750  0.708
Ni  0.462  0.250  0.150
Ni  0.538  0.750  0.850
Te  0.236  0.750  0.112
Te  0.320  0.750  0.579
Te  0.350  0.250  0.876
Te  0.650  0.750  0.124
Te  0.680  0.250  0.421
Te  0.764  0.250  0.888
Pd  0.455  0.750  0.381
Pd  0.545  0.250  0.619

The total energy is -3.91 eV/atom. Its magnetization is 0.0 μB per cell.


DFT (PBE) results for crystalline KPmNi at its relaxed geometry.

a b c (Å): 4.916 4.916 4.916
angles (deg): 60.00 60.00 60.00
Element x y z (fractional)
K  0.000  0.000  0.000
Pm  0.250  0.250  0.250
Ni  0.500  0.500  0.500

The total energy is -2.96 eV/atom. Its magnetization is 0.0 μB per cell.


DFT (PBE) results for crystalline KPrNi at its relaxed geometry.

a b c (Å): 4.947 4.947 4.947
angles (deg): 60.00 60.00 60.00
Element x y z (fractional)
K  0.000  0.000  0.000
Pr  0.250  0.250  0.250
Ni  0.500  0.500  0.500

The total energy is -2.99 eV/atom. Its magnetization is 0.0 μB per cell.


DFT (PBE) results for crystalline KPrNiS3 at its relaxed geometry.

a b c (Å): 8.865 4.036 9.277
angles (deg): 90.00 104.40 90.00
Element x y z (fractional)
K  0.193  0.250  0.230
K  0.807  0.750  0.770
Pr  0.330  0.750  0.851
Pr  0.670  0.250  0.149
Ni  0.078  0.250  0.591
Ni  0.922  0.750  0.409
S  0.103  0.250  0.842
S  0.170  0.750  0.531
S  0.447  0.750  0.162
S  0.553  0.250  0.838
S  0.830  0.250  0.469
S  0.897  0.750  0.158

The total energy is -5.23 eV/atom. Its magnetization is 2.5 μB per cell.


Q: What is the formula in the first record?
A: KNiTe3Pd


Q: Look up the magnetization of the first one.
A: 0.0 μB per cell


Q: Which of these has the highest magnetization?
A: KPrNiS3


Q: What is the magnetization in the third record?
A: 0.0 μB per cell